(1)
Below is a PBEsol-optimized structure of La2Mg, with properties calculated at the meta-GGA SCAN level.

Cell lengths 5.5772, 5.5772, 7.1005 Å; angles 90.00, 90.00, 120.00 degrees
With the nearest neighbours (Å) after each atom.
Fractional positions:
Mg 0.6667 0.3333 0.2500  5 La 3.22-3.55
Mg 0.3333 0.6667 0.7500  5 La 3.22-3.55
La 0.0000 0.0000 0.0000  8 La 3.55-3.68, 6 Mg 3.68
La 0.3333 0.6667 0.2500  5 Mg 3.22-3.55
La 0.0000 0.0000 0.5000  8 La 3.55-3.68, 6 Mg 3.68
La 0.6667 0.3333 0.7500  5 Mg 3.22-3.55

energy of formation from the pure elements: -0.1 eV/f.u.
volume: 191 Å³ per cell
polymorph energy (0 for the lowest one): 66 meV per atom
space group: P6_3/mmc (194)

(2)
Below is a PBEsol-optimized structure of LaMg, with properties calculated at the meta-GGA SCAN level.

Cell lengths 6.0924, 5.9382, 6.5505 Å; angles 62.14, 62.27, 59.12 degrees
With the nearest neighbours (Å) after each atom.
Fractional positions:
La 0.3231 0.6924 0.0279  2 La 3.05-3.22, 3 Mg 3.32-3.41
La 0.0434 0.3072 0.9723  2 La 3.05-3.22, 3 Mg 3.32-3.42
La 0.4911 0.5003 0.4999  2 La 3.22, 8 Mg 3.35-3.58
Mg 0.8051 0.8425 0.5035  5 Mg 3.31-3.50, 7 La 3.32-3.58
Mg 0.1510 0.1578 0.4968  5 Mg 3.30-3.50, 7 La 3.32-3.58
Mg 0.6863 0.9998 0.9996  4 Mg 3.30-3.46, 8 La 3.39-3.58

energy of formation from the pure elements: -0.1 eV/f.u.
volume: 172 Å³ per cell
polymorph energy (0 for the lowest one): 81 meV per atom
space group: C2 (5)

(3)
Below is a PBEsol-optimized structure of LaMg, with properties calculated at the meta-GGA SCAN level.

Cell lengths 3.7898, 5.5955, 6.4643 Å; angles 115.65, 107.05, 90.00 degrees
With the nearest neighbours (Å) after each atom.
Fractional positions:
La 0.6190 0.3690 0.2380  6 Mg 3.39-3.47, 4 La 3.45-3.79
La 0.3810 0.6310 0.7620  6 Mg 3.39-3.47, 4 La 3.45-3.79
Mg 0.1450 0.8950 0.2901  2 Mg 2.99
Mg 0.8550 0.1050 0.7099  2 Mg 2.99

energy of formation from the pure elements: -0.2 eV/f.u.
volume: 117 Å³ per cell
polymorph energy (0 for the lowest one): 30 meV per atom
space group: Imma (74)

(4)
Below is a PBEsol-optimized structure of LaMg, with properties calculated at the meta-GGA SCAN level.

Cell lengths 5.4480, 6.2634, 6.8430 Å; angles 90.00, 90.00, 90.00 degrees
With the nearest neighbours (Å) after each atom.
Fractional positions:
Mg 0.7500 0.0787 0.6246  7 La 3.32-3.52, 4 Mg 3.36-3.57
Mg 0.2500 0.9213 0.3754  7 La 3.32-3.52, 4 Mg 3.36-3.57
Mg 0.2500 0.4213 0.1246  7 La 3.32-3.52, 4 Mg 3.36-3.57
Mg 0.7500 0.5787 0.8754  7 La 3.32-3.52, 4 Mg 3.36-3.57
La 0.7500 0.1199 0.1371  7 Mg 3.32-3.52, 4 La 3.49-3.63
La 0.2500 0.3801 0.6371  7 Mg 3.32-3.52, 4 La 3.49-3.63
La 0.2500 0.8801 0.8629  7 Mg 3.32-3.52, 4 La 3.49-3.63
La 0.7500 0.6199 0.3629  7 Mg 3.32-3.52, 4 La 3.49-3.63

energy of formation from the pure elements: -0.2 eV/f.u.
volume: 234 Å³ per cell
polymorph energy (0 for the lowest one): 54 meV per atom
space group: Pnma (62)

(5)
Below is a PBEsol-optimized structure of LaMg8, with properties calculated at the meta-GGA SCAN level.

Cell lengths 4.7899, 7.1837, 7.1837 Å; angles 83.62, 70.53, 70.53 degrees
With the nearest neighbours (Å) after each atom.
Fractional positions:
Mg 0.3261 0.0000 0.3479  10 Mg 3.13-3.33, 2 La 3.36
Mg 0.6592 0.3408 0.3408  11 Mg 3.05-3.33, 1 La 3.26
Mg 0.6739 0.6521 0.0000  10 Mg 3.13-3.33, 2 La 3.36
Mg 0.6739 0.0000 0.6521  10 Mg 3.13-3.33, 2 La 3.36
Mg 0.3408 0.6592 0.6592  11 Mg 3.05-3.33, 1 La 3.26
Mg 0.0000 0.6592 0.3408  11 Mg 3.05-3.33, 1 La 3.26
Mg 0.0000 0.3408 0.6592  11 Mg 3.05-3.33, 1 La 3.26
Mg 0.3261 0.3479 0.0000  10 Mg 3.13-3.33, 2 La 3.36
La 0.0000 0.0000 0.0000  12 Mg 3.26-3.36

energy of formation from the pure elements: -0.4 eV/f.u.
volume: 220 Å³ per cell
space group: I4/mmm (139)

(6)
Below is a PBEsol-optimized structure of LaMg3, with properties calculated at the meta-GGA SCAN level.

Cell lengths 3.1277, 6.3645, 6.3645 Å; angles 117.37, 99.43, 99.43 degrees
With the nearest neighbours (Å) after each atom.
Fractional positions:
Mg 0.5000 0.5000 0.0000  6 Mg 3.13-3.31, 2 La 3.31
Mg 0.5000 0.0000 0.5000  6 Mg 3.13-3.31, 2 La 3.31
Mg 0.0000 0.5000 0.5000  6 Mg 3.13-3.31, 2 La 3.31
La 0.0000 0.0000 0.0000  2 La 3.13, 6 Mg 3.31

energy of formation from the pure elements: 0.1 eV/f.u.
volume: 107 Å³ per cell
space group: R-3m (166)